Here is an optimized crystal structure of IrWO3 from Alexandria via LeMat-Bulk. Energies are from GGA+U.

Size of the total moment, μB/cell: 2.2
Space group: Pm-3m
E_tot, eV per atom: -6.4360

Unit cell a=3.932 b=3.932 c=3.932 alpha=90.00 beta=90.00 gamma=90.00
Atoms (fractional coordinates):
Ir1 0.000 0.000 0.000
W1 0.500 0.500 0.500
O1 0.000 0.500 0.500
O2 0.500 0.000 0.500
O3 0.500 0.500 0.000